(1)
SrMg3Ga3: relaxed, PBE.

## Properties
Formation energy: 149 meV/atom
Density of states at the Fermi level: 6.8 states/eV per cell
Total magnetization: 0.000 μB per atom
Total energy: -2.072 eV per atom
Space group: No. 223

Cell lengths 7.4869, 7.4869, 7.4869 Å; angles 90.00, 90.00, 90.00 degrees
Sites, in units of the cell vectors:
Sr1 0.0000 0.0000 0.0000
Sr2 0.5000 0.5000 0.5000
Mg1 0.0000 0.2500 0.5000
Mg2 0.0000 0.7500 0.5000
Mg3 0.2500 0.5000 0.0000
Mg4 0.5000 0.0000 0.2500
Mg5 0.5000 0.0000 0.7500
Mg6 0.7500 0.5000 0.0000
Ga1 0.0000 0.5000 0.2500
Ga2 0.0000 0.5000 0.7500
Ga3 0.2500 0.0000 0.5000
Ga4 0.5000 0.2500 0.0000
Ga5 0.5000 0.7500 0.0000
Ga6 0.7500 0.0000 0.5000


(2)
SrMgGa3: relaxed, PBE.

## Properties
Formation energy: 28 meV/atom
Density of states at the Fermi level: 1.7 states/eV per cell
Total magnetization: 0.000 μB per atom
Total energy: -2.444 eV per atom
Space group: No. 221

Cell lengths 5.1378, 5.1378, 5.1378 Å; angles 90.00, 90.00, 90.00 degrees
Sites, in units of the cell vectors:
Sr1 0.0000 0.0000 0.0000
Mg1 0.5000 0.5000 0.5000
Ga1 0.0000 0.5000 0.5000
Ga2 0.5000 0.0000 0.5000
Ga3 0.5000 0.5000 0.0000


(3)
Sr4Mg3Ga2: relaxed, PBE.

## Properties
Formation energy: -189 meV/atom
Density of states at the Fermi level: 5.9 states/eV per cell
Total magnetization: 0.000 μB per atom
Total energy: -2.141 eV per atom
Space group: No. 12

Cell lengths 9.0528, 9.0528, 7.7800 Å; angles 106.87, 106.87, 29.43 degrees
Sites, in units of the cell vectors:
Sr1 0.0774 0.0774 0.3601
Sr2 0.2693 0.2693 0.8072
Sr3 0.7307 0.7307 0.1928
Sr4 0.9226 0.9226 0.6399
Mg1 0.4091 0.4091 0.2825
Mg2 0.5000 0.5000 0.0000
Mg3 0.5909 0.5909 0.7175
Ga1 0.1021 0.1021 0.9529
Ga2 0.8979 0.8979 0.0471


(4)
SrMgGa: relaxed, PBE.

## Properties
Formation energy: -260 meV/atom
Density of states at the Fermi level: 2.2 states/eV per cell
Total magnetization: 0.000 μB per atom
Total energy: -2.361 eV per atom
Space group: No. 187

Cell lengths 4.9467, 4.9467, 4.0176 Å; angles 90.00, 90.00, 120.00 degrees
Sites, in units of the cell vectors:
Sr1 0.0000 0.0000 0.0000
Mg1 0.6667 0.3333 0.5000
Ga1 0.3333 0.6667 0.5000